# 1
# VCoGe2

A geometry-optimized VCoGe2 structure (GGA-PBE, Alexandria).

Summary:
As for the formation energy: 0.0011 eV/atom. For the total moment, the calculation gives 1.8 μB/cell.

Unit cell a=4.2594 b=4.2594 c=4.2594 alpha=60.00 beta=60.00 gamma=60.00
With the nearest neighbours (Å) after each atom.
Fractional coordinates of all 4 atoms:
Ge (0.2500, 0.2500, 0.2500)  4 Co 2.61, 4 V 2.61
V (0.0000, 0.0000, 0.0000)  8 Ge 2.61
Co (0.5000, 0.5000, 0.5000)  8 Ge 2.61
Ge (0.7500, 0.7500, 0.7500)  4 V 2.61, 4 Co 2.61

---

# 2
# VCo7Ge4

A geometry-optimized VCo7Ge4 structure (GGA-PBE, Alexandria).

Summary:
As for the formation energy: 0.1030 eV/atom. For the total moment, the calculation gives 0.0 μB/cell.

Unit cell a=4.1795 b=7.0099 c=5.9362 alpha=81.57 beta=69.39 gamma=72.66
With the nearest neighbours (Å) after each atom.
Fractional coordinates of all 12 atoms:
Co (0.7815, 0.8711, 0.5658)  4 Ge 2.31-2.41, 1 Co 2.54
Ge (0.4172, 0.7829, 0.3826)  8 Co 2.34-2.52
V (0.0000, 0.0000, 0.0000)  4 Co 2.09-2.29
Co (0.9314, 0.3155, 0.8216)  1 V 2.29, 3 Ge 2.37-2.48, 1 Co 2.54
Co (0.5000, 0.0000, 0.0000)  2 V 2.09
Ge (0.2820, 0.3410, 0.0949)  6 Co 2.31-2.48
Ge (0.7180, 0.6590, 0.9051)  6 Co 2.31-2.48
Co (0.0686, 0.6845, 0.1784)  1 V 2.29, 3 Ge 2.37-2.48, 1 Co 2.54
Co (0.2185, 0.1289, 0.4342)  4 Ge 2.31-2.41, 1 Co 2.54
Co (0.6479, 0.4322, 0.2720)  5 Ge 2.34-2.48
Ge (0.5828, 0.2171, 0.6174)  8 Co 2.34-2.52
Co (0.3521, 0.5678, 0.7280)  5 Ge 2.34-2.48

---

# 3
# V8CoGe2

A geometry-optimized V8CoGe2 structure (GGA-PBE, Alexandria).

Summary:
As for the formation energy: -0.1767 eV/atom. For the total moment, the calculation gives 1.3 μB/cell.

Unit cell a=4.2019 b=6.4735 c=6.5654 alpha=118.27 beta=108.66 gamma=90.00
With the nearest neighbours (Å) after each atom.
Fractional coordinates of all 11 atoms:
Ge (0.2166, 0.6557, 0.4332)  10 V 2.53-2.77
V (0.0339, 0.7258, 0.0679)  7 V 2.50-2.61, 1 Ge 2.53
Ge (0.7834, 0.3443, 0.5668)  10 V 2.53-2.77
V (0.3227, 0.1115, 0.6453)  6 V 2.55-2.68, 3 Ge 2.56-2.77, 1 Co 2.64
V (0.8629, 0.8213, 0.7257)  3 V 2.50-2.55, 2 Co 2.59, 3 Ge 2.63-2.73
Co (0.5000, 0.0000, 0.0000)  8 V 2.46-2.64
V (0.1371, 0.1787, 0.2743)  3 V 2.50-2.55, 2 Co 2.59, 3 Ge 2.63-2.73
V (0.9661, 0.2742, 0.9321)  7 V 2.50-2.61, 1 Ge 2.53
V (0.5917, 0.4357, 0.1834)  1 Co 2.46, 3 V 2.51-2.57, 3 Ge 2.58-2.73
V (0.4083, 0.5643, 0.8166)  1 Co 2.46, 3 V 2.51-2.57, 3 Ge 2.58-2.73
V (0.6773, 0.8885, 0.3547)  6 V 2.55-2.68, 3 Ge 2.56-2.77, 1 Co 2.64

---

# 4
# V2Co3Ge2

A geometry-optimized V2Co3Ge2 structure (GGA-PBE, Alexandria).

Summary:
As for the formation energy: -0.1175 eV/atom. For the total moment, the calculation gives 3.1 μB/cell. The calculation puts the energy above the most stable polymorph in this dataset at 0.057 eV per atom.

Unit cell a=3.9932 b=3.9955 c=6.9457 alpha=90.01 beta=106.70 gamma=120.01
With the nearest neighbours (Å) after each atom.
Fractional coordinates of all 7 atoms:
Co (0.5100, 0.2549, 0.7656)  3 Ge 2.34, 4 V 2.45-2.53
Ge (0.7809, 0.3905, 0.1712)  6 Co 2.34-2.56
V (0.2615, 0.1309, 0.3920)  5 Co 2.45-2.57, 3 V 2.70-2.71, 3 Ge 2.72
Ge (0.2191, 0.6095, 0.8288)  6 Co 2.34-2.56
Co (0.4900, 0.7451, 0.2344)  3 Ge 2.34, 4 V 2.45-2.53
Co (0.0000, 0.0000, 0.0000)  6 Ge 2.56, 2 V 2.57, 6 Co 2.77
V (0.7385, 0.8691, 0.6080)  5 Co 2.45-2.57, 3 V 2.70-2.71, 3 Ge 2.72

---

# 5
# VCoGe2

A geometry-optimized VCoGe2 structure (GGA-PBE, Alexandria).

Summary:
As for the formation energy: 0.2353 eV/atom. For the total moment, the calculation gives 0.1 μB/cell.

Unit cell a=2.8083 b=2.8083 c=8.8716 alpha=80.89 beta=80.89 gamma=60.00
With the nearest neighbours (Å) after each atom.
Fractional coordinates of all 4 atoms:
V (0.0000, 0.0000, 0.0000)  2 Ge 2.53, 6 V 2.81
Co (0.5000, 0.5000, 0.5000)  6 Ge 2.45
Ge (0.9033, 0.9033, 0.2901)  3 Co 2.45, 1 V 2.53
Ge (0.0967, 0.0967, 0.7099)  3 Co 2.45, 1 V 2.53

---

# 6
# V4CoGe2

A geometry-optimized V4CoGe2 structure (GGA-PBE, Alexandria).

Summary:
As for the formation energy: -0.1448 eV/atom. For the total moment, the calculation gives 0.0 μB/cell.

Unit cell a=6.1684 b=6.8905 c=6.4204 alpha=112.35 beta=107.00 gamma=115.25
With the nearest neighbours (Å) after each atom.
Fractional coordinates of all 14 atoms:
V (0.9732, 0.6227, 0.6660)  1 Co 2.41, 3 Ge 2.51-2.57, 2 V 2.51-2.69
Ge (0.6943, 0.2972, 0.1665)  8 V 2.50-2.62, 1 Co 2.54
V (0.3163, 0.3595, 0.2098)  1 Co 2.17
V (0.9754, 0.1811, 0.3911)  4 Ge 2.51-2.72, 3 V 2.60-2.80, 1 Co 2.64
Ge (0.2713, 0.5340, 0.9324)  7 V 2.46-2.72, 1 Co 2.71
V (0.2476, 0.0856, 0.7280)  4 Ge 2.55-2.78, 2 Co 2.67-2.77, 5 V 2.69-2.83
V (0.4812, 0.8228, 0.7985)  2 Co 2.30-2.41, 2 Ge 2.48-2.58, 1 V 2.51
V (0.3615, 0.9932, 0.2494)  2 Co 2.40-2.62, 2 Ge 2.58-2.59
Ge (0.7022, 0.8553, 0.4911)  2 Co 2.43-2.50, 5 V 2.44-2.61
V (0.8117, 0.6987, 0.1480)  2 Co 2.45-2.62, 4 Ge 2.48-2.68, 1 V 2.60
V (0.7704, 0.2530, 0.7947)  4 Ge 2.44-2.52
Co (0.1964, 0.6741, 0.3458)  4 V 2.40-2.51, 2 Ge 2.50-2.54
Co (0.9366, 0.9509, 0.9320)  3 V 2.17-2.41
Ge (0.5120, 0.4219, 0.6467)  8 V 2.48-2.67, 1 Co 2.73, 1 Ge 2.77

---

| no. | total energy (eV/atom) | theoretical density (g/cm3) |
| --- | --- | --- |
| 1 | -6.36 | 7.8 |
| 2 | -6.34 | 8.1 |
| 3 | -8.29 | 6.9 |
| 4 | -7.09 | 7.8 |
| 5 | -6.13 | 7.1 |
| 6 | -7.69 | 7.1 |